No. 1
# RbPuZn2Br8

A relaxed RbPuZn2Br8 crystal (PBE, Alexandria via LeMat-Bulk).

a b c (Å): 11.628 11.628 11.628
angles (deg): 33.99 33.99 33.99
Element x y z (fractional)
Rb (0.000, 0.000, 0.000)
Pu (0.500, 0.500, 0.500)
Zn (0.250, 0.250, 0.250)
Zn (0.750, 0.750, 0.750)
Br (0.120, 0.436, 0.771)
Br (0.229, 0.564, 0.880)
Br (0.322, 0.322, 0.322)
Br (0.436, 0.771, 0.120)
Br (0.564, 0.880, 0.229)
Br (0.678, 0.678, 0.678)
Br (0.771, 0.120, 0.436)
Br (0.880, 0.229, 0.564)

Properties
As for the total magnetization: 0.4167 μB/atom. The calculation puts the formation energy (no corrections) at -1.18 eV/atom.



No. 2
# Pu2ReBr

A relaxed Pu2ReBr crystal (PBE, Alexandria via LeMat-Bulk).

a b c (Å): 3.326 3.326 8.163
angles (deg): 90.00 90.00 90.00
Element x y z (fractional)
Pu (0.000, 0.000, 0.215)
Pu (0.000, 0.000, 0.785)
Re (0.500, 0.500, 0.000)
Br (0.500, 0.500, 0.500)

Properties
As for the total magnetization: 2.5206 μB/atom. The calculation puts the formation energy (no corrections) at -0.34 eV/atom.



No. 3
# Pu2RhBr

A relaxed Pu2RhBr crystal (PBE, Alexandria via LeMat-Bulk).

a b c (Å): 3.441 3.441 7.900
angles (deg): 90.00 90.00 90.00
Element x y z (fractional)
Pu (0.000, 0.000, 0.213)
Pu (0.000, 0.000, 0.787)
Rh (0.500, 0.500, 0.000)
Br (0.500, 0.500, 0.500)

Properties
As for the total magnetization: 2.8260 μB/atom. The calculation puts the formation energy (no corrections) at -0.66 eV/atom.



No. 4
# Pu2RhBr

A relaxed Pu2RhBr crystal (PBE, Alexandria via LeMat-Bulk).

a b c (Å): 3.965 3.965 23.407
angles (deg): 90.00 90.00 120.00
Element x y z (fractional)
Pu (0.000, 0.000, 0.234)
Pu (0.000, 0.000, 0.766)
Pu (0.333, 0.667, 0.432)
Pu (0.333, 0.667, 0.901)
Pu (0.667, 0.333, 0.099)
Pu (0.667, 0.333, 0.568)
Rh (0.000, 0.000, 0.500)
Rh (0.333, 0.667, 0.167)
Rh (0.667, 0.333, 0.833)
Br (0.000, 0.000, 0.000)
Br (0.333, 0.667, 0.667)
Br (0.667, 0.333, 0.333)

Properties
As for the total magnetization: 2.7045 μB/atom. The calculation puts the formation energy (no corrections) at -0.66 eV/atom.



No. 5
# PuRuBr

A relaxed PuRuBr crystal (PBE, Alexandria via LeMat-Bulk).

a b c (Å): 11.396 11.396 11.396
angles (deg): 21.10 21.10 21.10
Element x y z (fractional)
Pu (0.060, 0.060, 0.060)
Pu (0.940, 0.940, 0.940)
Ru (0.336, 0.336, 0.336)
Ru (0.664, 0.664, 0.664)
Br (0.218, 0.218, 0.218)
Br (0.782, 0.782, 0.782)

Properties
As for the total magnetization: 1.7468 μB/atom. The calculation puts the formation energy (no corrections) at -0.63 eV/atom.



No. 6
# Pu2RuBr

A relaxed Pu2RuBr crystal (PBE, Alexandria via LeMat-Bulk).

a b c (Å): 3.349 3.349 8.109
angles (deg): 90.00 90.00 90.00
Element x y z (fractional)
Pu (0.000, 0.000, 0.215)
Pu (0.000, 0.000, 0.785)
Ru (0.500, 0.500, 0.000)
Br (0.500, 0.500, 0.500)

Properties
The calculation puts the energy above the lowest structure with this stoichiometry at 0 meV per atom. As for the total magnetization: 2.7269 μB/atom. The calculation puts the formation energy (no corrections) at -0.54 eV/atom.



No. 7
# Pu2RuBr

A relaxed Pu2RuBr crystal (PBE, Alexandria via LeMat-Bulk).

a b c (Å): 3.929 3.929 23.112
angles (deg): 90.00 90.00 120.00
Element x y z (fractional)
Pu (0.000, 0.000, 0.233)
Pu (0.000, 0.000, 0.767)
Pu (0.333, 0.667, 0.433)
Pu (0.333, 0.667, 0.900)
Pu (0.667, 0.333, 0.100)
Pu (0.667, 0.333, 0.567)
Ru (0.000, 0.000, 0.500)
Ru (0.333, 0.667, 0.167)
Ru (0.667, 0.333, 0.833)
Br (0.000, 0.000, 0.000)
Br (0.333, 0.667, 0.667)
Br (0.667, 0.333, 0.333)

Properties
The calculation puts the energy above the lowest structure with this stoichiometry at 45 meV per atom. As for the total magnetization: 2.5465 μB/atom. The calculation puts the formation energy (no corrections) at -0.49 eV/atom.



No. 8
# PuS6Br2

A relaxed PuS6Br2 crystal (PBE, Alexandria via LeMat-Bulk).

a b c (Å): 4.360 8.315 8.625
angles (deg): 112.64 91.83 91.70
Element x y z (fractional)
Pu (0.000, 0.000, 0.000)
S (0.087, 0.493, 0.723)
S (0.087, 0.721, 0.477)
S (0.133, 0.301, 0.309)
S (0.867, 0.699, 0.691)
S (0.913, 0.279, 0.523)
S (0.913, 0.507, 0.277)
Br (0.499, 0.855, 0.130)
Br (0.501, 0.145, 0.870)

Properties
As for the total magnetization: 0.6715 μB/atom. The calculation puts the formation energy (no corrections) at -0.42 eV/atom.



No. 9
# Pu4SBr5

A relaxed Pu4SBr5 crystal (PBE, Alexandria via LeMat-Bulk).

a b c (Å): 9.171 9.171 8.384
angles (deg): 101.31 101.31 24.98
Element x y z (fractional)
Pu (0.000, 0.000, 0.228)
Pu (0.000, 0.000, 0.772)
Pu (0.342, 0.342, 0.934)
Pu (0.658, 0.658, 0.066)
S (0.500, 0.500, 0.000)
Br (0.167, 0.167, 0.330)
Br (0.171, 0.171, 0.809)
Br (0.500, 0.500, 0.500)
Br (0.829, 0.829, 0.191)
Br (0.833, 0.833, 0.670)

Properties
As for the total magnetization: 0.0277 μB/atom. The calculation puts the formation energy (no corrections) at -1.37 eV/atom.



No. 10
# PuS2Br2

A relaxed PuS2Br2 crystal (PBE, Alexandria via LeMat-Bulk).

a b c (Å): 7.269 7.269 7.513
angles (deg): 95.69 95.69 119.26
Element x y z (fractional)
Pu (0.152, 0.848, 0.000)
Pu (0.848, 0.152, 0.000)
S (0.067, 0.067, 0.275)
S (0.267, 0.267, 0.123)
S (0.733, 0.733, 0.877)
S (0.933, 0.933, 0.725)
Br (0.075, 0.466, 0.773)
Br (0.466, 0.075, 0.773)
Br (0.534, 0.925, 0.227)
Br (0.925, 0.534, 0.227)

Properties
As for the total magnetization: 0.7977 μB/atom. The calculation puts the formation energy (no corrections) at -1.11 eV/atom.



No. 11
# Pu5S4Br

A relaxed Pu5S4Br crystal (PBE, Alexandria via LeMat-Bulk).

a b c (Å): 17.232 17.232 17.232
angles (deg): 13.04 13.04 13.04
Element x y z (fractional)
Pu (0.000, 0.000, 0.000)
Pu (0.208, 0.208, 0.208)
Pu (0.397, 0.397, 0.397)
Pu (0.603, 0.603, 0.603)
Pu (0.792, 0.792, 0.792)
S (0.095, 0.095, 0.095)
S (0.302, 0.302, 0.302)
S (0.698, 0.698, 0.698)
S (0.905, 0.905, 0.905)
Br (0.500, 0.500, 0.500)

Properties
As for the total magnetization: 0.6377 μB/atom. The calculation puts the formation energy (no corrections) at -1.57 eV/atom.



No. 12
# Pu5S12Br3

A relaxed Pu5S12Br3 crystal (PBE, Alexandria via LeMat-Bulk).

a b c (Å): 14.364 14.364 14.364
angles (deg): 109.47 109.47 109.47
Element x y z (fractional)
Pu (0.000, 0.000, 0.000)
Pu (0.000, 0.000, 0.500)
Pu (0.000, 0.500, 0.000)
Pu (0.000, 0.500, 0.500)
Pu (0.125, 0.750, 0.875)
Pu (0.125, 0.875, 0.250)
Pu (0.250, 0.125, 0.875)
Pu (0.250, 0.625, 0.375)
Pu (0.375, 0.250, 0.625)
Pu (0.375, 0.625, 0.750)
Pu (0.500, 0.000, 0.000)
Pu (0.500, 0.000, 0.500)
Pu (0.500, 0.500, 0.000)
Pu (0.500, 0.500, 0.500)
Pu (0.625, 0.375, 0.250)
Pu (0.625, 0.750, 0.375)
Pu (0.750, 0.375, 0.625)
Pu (0.750, 0.875, 0.125)
Pu (0.875, 0.125, 0.750)
Pu (0.875, 0.250, 0.125)
S (0.021, 0.200, 0.087)
S (0.021, 0.321, 0.934)
S (0.066, 0.587, 0.387)
S (0.066, 0.979, 0.679)
S (0.087, 0.021, 0.200)
S (0.087, 0.566, 0.887)
S (0.113, 0.700, 0.679)
S (0.113, 0.913, 0.434)
S (0.179, 0.200, 0.613)
S (0.179, 0.479, 0.566)
S (0.200, 0.087, 0.021)
S (0.200, 0.613, 0.179)
S (0.300, 0.321, 0.887)
S (0.300, 0.479, 0.413)
S (0.321, 0.887, 0.300)
S (0.321, 0.934, 0.021)
S (0.387, 0.066, 0.587)
S (0.387, 0.821, 0.800)
S (0.413, 0.300, 0.479)
S (0.413, 0.613, 0.934)
S (0.434, 0.113, 0.913)
S (0.434, 0.821, 0.521)
S (0.479, 0.413, 0.300)
S (0.479, 0.566, 0.179)
S (0.521, 0.434, 0.821)
S (0.521, 0.587, 0.700)
S (0.566, 0.179, 0.479)
S (0.566, 0.887, 0.087)
S (0.587, 0.387, 0.066)
S (0.587, 0.700, 0.521)
S (0.613, 0.179, 0.200)
S (0.613, 0.934, 0.413)
S (0.679, 0.066, 0.979)
S (0.679, 0.113, 0.700)
S (0.700, 0.521, 0.587)
S (0.700, 0.679, 0.113)
S (0.800, 0.387, 0.821)
S (0.800, 0.913, 0.979)
S (0.821, 0.521, 0.434)
S (0.821, 0.800, 0.387)
S (0.887, 0.087, 0.566)
S (0.887, 0.300, 0.321)
S (0.913, 0.434, 0.113)
S (0.913, 0.979, 0.800)
S (0.934, 0.021, 0.321)
S (0.934, 0.413, 0.613)
S (0.979, 0.679, 0.066)
S (0.979, 0.800, 0.913)
Br (0.125, 0.250, 0.375)
Br (0.125, 0.375, 0.750)
Br (0.250, 0.375, 0.125)
Br (0.250, 0.875, 0.625)
Br (0.375, 0.125, 0.250)
Br (0.375, 0.750, 0.125)
Br (0.625, 0.250, 0.875)
Br (0.625, 0.875, 0.750)
Br (0.750, 0.125, 0.375)
Br (0.750, 0.625, 0.875)
Br (0.875, 0.625, 0.250)
Br (0.875, 0.750, 0.625)

Properties
As for the total magnetization: 0.7866 μB/atom. The calculation puts the formation energy (no corrections) at -0.50 eV/atom.



No. 13
# PuS2Br4

A relaxed PuS2Br4 crystal (PBE, Alexandria via LeMat-Bulk).

a b c (Å): 4.064 7.630 9.163
angles (deg): 86.17 86.66 77.72
Element x y z (fractional)
Pu (0.000, 0.000, 0.000)
S (0.281, 0.573, 0.486)
S (0.719, 0.427, 0.514)
Br (0.068, 0.923, 0.716)
Br (0.403, 0.262, 0.942)
Br (0.597, 0.738, 0.058)
Br (0.932, 0.077, 0.284)

Properties
As for the total magnetization: 0.5820 μB/atom. The calculation puts the formation energy (no corrections) at -0.78 eV/atom.



No. 14
# Pu4S3Br

A relaxed Pu4S3Br crystal (PBE, Alexandria via LeMat-Bulk).

a b c (Å): 3.871 3.871 14.692
angles (deg): 90.00 90.00 120.00
Element x y z (fractional)
Pu (0.333, 0.667, 0.346)
Pu (0.333, 0.667, 0.884)
Pu (0.667, 0.333, 0.116)
Pu (0.667, 0.333, 0.654)
S (0.000, 0.000, 0.000)
S (0.000, 0.000, 0.236)
S (0.000, 0.000, 0.764)
Br (0.000, 0.000, 0.500)

Properties
As for the total magnetization: 3.0491 μB/atom. The calculation puts the formation energy (no corrections) at -1.47 eV/atom.



No. 15
# PuTlSBr

A relaxed PuTlSBr crystal (PBE, Alexandria via LeMat-Bulk).

a b c (Å): 4.148 4.148 24.650
angles (deg): 90.00 90.00 120.00
Element x y z (fractional)
Pu (0.000, 0.000, 0.000)
Pu (0.333, 0.667, 0.667)
Pu (0.667, 0.333, 0.333)
Tl (0.000, 0.000, 0.197)
Tl (0.333, 0.667, 0.864)
Tl (0.667, 0.333, 0.531)
S (0.000, 0.000, 0.613)
S (0.333, 0.667, 0.279)
S (0.667, 0.333, 0.946)
Br (0.000, 0.000, 0.411)
Br (0.333, 0.667, 0.078)
Br (0.667, 0.333, 0.744)

Properties
As for the total magnetization: 1.5063 μB/atom. The calculation puts the formation energy (no corrections) at -1.14 eV/atom.



No. 16
# Pu2SbBr

A relaxed Pu2SbBr crystal (PBE, Alexandria via LeMat-Bulk).

a b c (Å): 7.510 7.510 7.510
angles (deg): 90.00 90.00 90.00
Element x y z (fractional)
Pu (0.250, 0.250, 0.250)
Pu (0.250, 0.250, 0.750)
Pu (0.250, 0.750, 0.250)
Pu (0.250, 0.750, 0.750)
Pu (0.750, 0.250, 0.250)
Pu (0.750, 0.250, 0.750)
Pu (0.750, 0.750, 0.250)
Pu (0.750, 0.750, 0.750)
Sb (0.000, 0.000, 0.000)
Sb (0.000, 0.500, 0.500)
Sb (0.500, 0.000, 0.500)
Sb (0.500, 0.500, 0.000)
Br (0.000, 0.000, 0.500)
Br (0.000, 0.500, 0.000)
Br (0.500, 0.000, 0.000)
Br (0.500, 0.500, 0.500)

Properties
The calculation puts the energy above the lowest structure with this stoichiometry at 17 meV per atom. As for the total magnetization: 2.9959 μB/atom. The calculation puts the formation energy (no corrections) at -0.77 eV/atom.



No. 17
# Pu2SbBr

A relaxed Pu2SbBr crystal (PBE, Alexandria via LeMat-Bulk).

a b c (Å): 4.477 4.477 19.986
angles (deg): 90.00 90.00 120.00
Element x y z (fractional)
Pu (0.000, 0.000, 0.246)
Pu (0.000, 0.000, 0.754)
Pu (0.333, 0.667, 0.420)
Pu (0.333, 0.667, 0.913)
Pu (0.667, 0.333, 0.087)
Pu (0.667, 0.333, 0.580)
Sb (0.000, 0.000, 0.000)
Sb (0.333, 0.667, 0.667)
Sb (0.667, 0.333, 0.333)
Br (0.000, 0.000, 0.500)
Br (0.333, 0.667, 0.167)
Br (0.667, 0.333, 0.833)

Properties
The calculation puts the energy above the lowest structure with this stoichiometry at 0 meV per atom. As for the total magnetization: 2.9441 μB/atom. The calculation puts the formation energy (no corrections) at -0.78 eV/atom.



No. 18
# PuSbBr6

A relaxed PuSbBr6 crystal (PBE, Alexandria via LeMat-Bulk).

a b c (Å): 7.104 13.067 7.087
angles (deg): 90.00 106.80 90.00
Element x y z (fractional)
Pu (0.000, 0.000, 0.000)
Pu (0.500, 0.500, 0.000)
Sb (0.000, 0.500, 0.500)
Sb (0.500, 0.000, 0.500)
Br (0.244, 0.352, 0.747)
Br (0.244, 0.648, 0.747)
Br (0.248, 0.000, 0.747)
Br (0.252, 0.500, 0.253)
Br (0.256, 0.148, 0.253)
Br (0.256, 0.852, 0.253)
Br (0.744, 0.148, 0.747)
Br (0.744, 0.852, 0.747)
Br (0.748, 0.500, 0.747)
Br (0.752, 0.000, 0.253)
Br (0.756, 0.352, 0.253)
Br (0.756, 0.648, 0.253)

Properties
As for the total magnetization: 0.6250 μB/atom. The calculation puts the formation energy (no corrections) at -1.02 eV/atom.



No. 19
# Pu2SbBr2

A relaxed Pu2SbBr2 crystal (PBE, Alexandria via LeMat-Bulk).

a b c (Å): 4.367 4.367 31.254
angles (deg): 90.00 90.00 120.00
Element x y z (fractional)
Pu (0.000, 0.000, 0.108)
Pu (0.000, 0.000, 0.892)
Pu (0.333, 0.667, 0.559)
Pu (0.333, 0.667, 0.775)
Pu (0.667, 0.333, 0.225)
Pu (0.667, 0.333, 0.441)
Sb (0.000, 0.000, 0.500)
Sb (0.333, 0.667, 0.167)
Sb (0.667, 0.333, 0.833)
Br (0.000, 0.000, 0.277)
Br (0.000, 0.000, 0.723)
Br (0.333, 0.667, 0.389)
Br (0.333, 0.667, 0.944)
Br (0.667, 0.333, 0.056)
Br (0.667, 0.333, 0.611)

Properties
As for the total magnetization: 2.2000 μB/atom. The calculation puts the formation energy (no corrections) at -1.13 eV/atom.



No. 20
# Pu2SbBr

A relaxed Pu2SbBr crystal (PBE, Alexandria via LeMat-Bulk).

a b c (Å): 5.279 5.279 15.911
angles (deg): 90.00 90.00 120.00
Element x y z (fractional)
Pu (0.000, 0.000, 0.000)
Pu (0.000, 0.000, 0.164)
Pu (0.333, 0.667, 0.667)
Pu (0.333, 0.667, 0.830)
Pu (0.667, 0.333, 0.333)
Pu (0.667, 0.333, 0.497)
Sb (0.000, 0.000, 0.364)
Sb (0.333, 0.667, 0.031)
Sb (0.667, 0.333, 0.697)
Br (0.000, 0.000, 0.822)
Br (0.333, 0.667, 0.489)
Br (0.667, 0.333, 0.155)

Properties
The calculation puts the energy above the lowest structure with this stoichiometry at 438 meV per atom. As for the total magnetization: 0.1021 μB/atom. The calculation puts the formation energy (no corrections) at -0.34 eV/atom.



No. 21
# Pu2SbBr

A relaxed Pu2SbBr crystal (PBE, Alexandria via LeMat-Bulk).

a b c (Å): 3.775 3.775 7.545
angles (deg): 90.00 90.00 90.00
Element x y z (fractional)
Pu (0.000, 0.000, 0.230)
Pu (0.000, 0.000, 0.770)
Sb (0.500, 0.500, 0.000)
Br (0.500, 0.500, 0.500)

Properties
The calculation puts the energy above the lowest structure with this stoichiometry at 51 meV per atom. As for the total magnetization: 2.9936 μB/atom. The calculation puts the formation energy (no corrections) at -0.73 eV/atom.



No. 22
# PuSc2Br8

A relaxed PuSc2Br8 crystal (PBE, Alexandria via LeMat-Bulk).

a b c (Å): 8.500 8.500 7.041
angles (deg): 95.55 95.55 68.86
Element x y z (fractional)
Pu (0.000, 0.000, 0.000)
Sc (0.192, 0.192, 0.643)
Sc (0.808, 0.808, 0.357)
Br (0.104, 0.699, 0.232)
Br (0.179, 0.179, 0.278)
Br (0.301, 0.896, 0.768)
Br (0.362, 0.362, 0.768)
Br (0.638, 0.638, 0.232)
Br (0.699, 0.104, 0.232)
Br (0.821, 0.821, 0.722)
Br (0.896, 0.301, 0.768)

Properties
As for the total magnetization: 0.5458 μB/atom. The calculation puts the formation energy (no corrections) at -1.54 eV/atom.



No. 23
# PuScBr6

A relaxed PuScBr6 crystal (PBE, Alexandria via LeMat-Bulk).

a b c (Å): 7.565 7.565 7.565
angles (deg): 54.69 54.69 54.69
Element x y z (fractional)
Pu (0.000, 0.000, 0.000)
Sc (0.500, 0.500, 0.500)
Br (0.108, 0.414, 0.740)
Br (0.260, 0.892, 0.586)
Br (0.414, 0.740, 0.108)
Br (0.586, 0.260, 0.892)
Br (0.740, 0.108, 0.414)
Br (0.892, 0.586, 0.260)

Properties
The calculation puts the energy above the lowest structure with this stoichiometry at 27 meV per atom. As for the total magnetization: 0.6250 μB/atom. The calculation puts the formation energy (no corrections) at -1.54 eV/atom.